Material: Li2TaCu
Method: DFT, PBE
State: optimized geometry

Cell lengths 5.297, 9.350, 2.554 Å; angles 90.00, 90.00, 90.00 degrees
Space group Cmmm (No. 65)
One atom of each set of equivalent atoms:
Li  0.250  0.250  0.000 x4
Ta  0.000  0.000  0.500 x2
Cu  0.000  0.500  0.500 x2

Calculated values
distance to the lowest polymorph of the same formula: 271.1 meV/atom
total magnetic moment: 0.00 μB per cell


Material: Li2TaCu
Method: DFT, PBE
State: optimized geometry

Cell lengths 6.876, 6.876, 5.085 Å; angles 90.00, 90.00, 90.00 degrees
Space group I-42d (No. 122)
One atom of each set of equivalent atoms:
Li  0.211  0.250  0.125 x8
Ta  0.000  0.000  0.500 x4
Cu  0.000  0.000  0.000 x4

Calculated values
distance to the lowest polymorph of the same formula: 541.9 meV/atom
total magnetic moment: 0.00 μB per cell


Material: LiTa3Cu
Method: DFT, PBE
State: optimized geometry

Cell lengths 4.359, 4.359, 4.359 Å; angles 90.00, 90.00, 90.00 degrees
Space group Pm-3m (No. 221)
One atom of each set of equivalent atoms:
Li  0.000  0.000  0.000 x1
Ta  0.000  0.000  0.500 x3
Cu  0.500  0.500  0.500 x1

Calculated values
distance to the lowest polymorph of the same formula: 0.0 meV/atom
total magnetic moment: 0.00 μB per cell


Material: LiTaCu
Method: DFT, PBE
State: optimized geometry

Cell lengths 2.8143, 2.8143, 44.0105 Å; angles 90.00, 90.00, 120.00 degrees
Space group R-3m (No. 166, hexagonal axes)
One atom of each set of equivalent atoms:
Li  0.0000  0.0000  0.1961 x6
Ta  0.0000  0.0000  0.3629 x6
Cu  0.0000  0.0000  0.2528 x6

Calculated values
distance to the lowest polymorph of the same formula: 0.0 meV/atom
total magnetic moment: 0.00 μB per cell